# CsSrF3, optimized geometry, DFT PBE
data_CsSrF3
_cell_length_a 7.128
_cell_length_b 7.128
_cell_length_c 8.055
_cell_angle_alpha 96.88
_cell_angle_beta 96.88
_cell_angle_gamma 37.69
_symmetry_space_group_name_H-M 'P 1'
_symmetry_Int_Tables_number 1
_symmetry_space_group_name_Hall 'P 1'
loop_
_atom_site_label
_atom_site_fract_x
_atom_site_fract_y
_atom_site_fract_z
_atom_site_occupancy
Cs1 0.127 0.127 0.388 1
Cs2 0.873 0.873 0.612 1
Sr1 0.368 0.368 0.081 1
Sr2 0.632 0.632 0.919 1
F1 0.180 0.180 0.984 1
F2 0.339 0.339 0.366 1
F3 0.453 0.453 0.827 1
F4 0.547 0.547 0.173 1
F5 0.661 0.661 0.634 1
F6 0.820 0.820 0.016 1
# ΔE_f (raw) in eV per formula unit: -16.96
# DOS at the Fermi energy in states/eV/atom: 0.0000
# Electronic total energy in eV per atom: -5.0220
# Offset from the most stable computed form in meV/atom: 41